A plane-wave DFT calculation with PBE+U was carried out for a geometry-optimized Nb2NiF structure.

Cell lengths 4.283, 4.283, 4.283 Å; angles 60.00, 60.00, 60.00 degrees
Positions (direct):
Ni 0.500 0.500 0.500
Nb 0.750 0.750 0.750
Nb 0.250 0.250 0.250
F 0.000 0.000 0.000

Properties
* calculated density: 7.88 g cm⁻³
* uncorrected energy: -6.0499 eV per atom